TlVCu2F8 | GGA+U | relaxed

It has space group P-1 (No. 2), with a = 4.732 Å, b = 4.805 Å, c = 8.325 Å, α = 83.98°, β = 89.86° and γ = 86.02°. The inequivalent atoms are Tl at (0.000, 0.000, 0.000), V at (0.000, 0.000, 0.500), Cu at (0.474, 0.500, 0.305), F at (0.170, 0.786, 0.330), F at (0.199, 0.768, 0.684), F at (0.309, 0.264, 0.480) and F at (0.413, 0.303, 0.882).

For the total moment, the calculation gives 4.0 μB/f.u. The total energy comes out at -56.85 eV per cell.